[1]
LaCeZnIn | PBE-GGA | relaxed

CIF file:
```
data_LaCeZnIn
_chemical_formula_sum 'La1 Ce1 Zn1 In1'
_cell_length_a 3.740
_cell_length_b 3.740
_cell_length_c 7.842
_cell_angle_alpha 90.00
_cell_angle_beta 90.00
_cell_angle_gamma 90.00
_space_group_name_H-M_alt 'P 1'
_space_group_IT_number 1
_space_group_name_Hall 'P 1'
loop_
_atom_site_label
_atom_site_fract_x
_atom_site_fract_y
_atom_site_fract_z
_atom_site_occupancy
Zn1 0.000 0.000 0.562 1
Ce1 0.500 0.500 0.342 1
In1 0.000 0.000 0.079 1
La1 0.500 0.500 0.802 1
```

Output
Its formation energy is -1.29 eV per formula unit. As for the uncorrected energy: -16.17 eV/cell. The excess energy over the best structure of this formula in the dataset is 0.000 eV per atom. The symmetry is P4mm, No. 99.


[2]
Li2NpTaN4 | PBE-GGA | relaxed

CIF file:
```
data_Li2NpTaN4
_chemical_formula_sum 'Li4 Np2 Ta2 N8'
_cell_length_a 3.345
_cell_length_b 7.720
_cell_length_c 8.085
_cell_angle_alpha 90.00
_cell_angle_beta 90.00
_cell_angle_gamma 102.51
_space_group_name_H-M_alt 'P 1'
_space_group_IT_number 1
_space_group_name_Hall 'P 1'
loop_
_atom_site_label
_atom_site_fract_x
_atom_site_fract_y
_atom_site_fract_z
_atom_site_occupancy
N1 0.329 0.658 0.750 1
N2 0.000 0.000 0.500 1
N3 0.671 0.342 0.250 1
N4 0.341 0.681 0.398 1
N5 0.341 0.681 0.102 1
N6 0.659 0.319 0.602 1
N7 0.000 0.000 0.000 1
N8 0.659 0.319 0.898 1
Li1 0.422 0.845 0.574 1
Li2 0.578 0.155 0.074 1
Li3 0.422 0.845 0.926 1
Li4 0.578 0.155 0.426 1
Ta1 0.762 0.524 0.750 1
Ta2 0.238 0.476 0.250 1
Np1 0.081 0.163 0.750 1
Np2 0.919 0.837 0.250 1
```

Output
As for the uncorrected energy: -132.42 eV/cell. The symmetry is Cmcm, No. 63. The uncorrected formation energy comes out at -0.54 eV/atom.


[3]
NdDy2TmN4 | PBE-GGA | relaxed

CIF file:
```
data_NdDy2TmN4
_chemical_formula_sum 'Nd1 Dy2 Tm1 N4'
_cell_length_a 3.504
_cell_length_b 6.070
_cell_length_c 6.068
_cell_angle_alpha 109.42
_cell_angle_beta 90.00
_cell_angle_gamma 90.00
_space_group_name_H-M_alt 'P 1'
_space_group_IT_number 1
_space_group_name_Hall 'P 1'
loop_
_atom_site_label
_atom_site_fract_x
_atom_site_fract_y
_atom_site_fract_z
_atom_site_occupancy
Dy1 0.500 0.000 0.500 1
Dy2 0.000 0.500 0.500 1
N1 0.500 0.756 0.749 1
N2 0.500 0.244 0.251 1
N3 0.000 0.759 0.256 1
N4 0.000 0.241 0.744 1
Tm1 0.000 0.000 0.000 1
Nd1 0.500 0.500 0.000 1
```

Output
As for the uncorrected energy: -64.68 eV/cell. The symmetry is P2/m, No. 10. The uncorrected formation energy comes out at -1.62 eV/atom.